VASP calculation (GGA-PBE) on a relaxed Pm3TmTh4Se8 crystal. Values from VASP.

## Properties
For the raw formation energy, the calculation gives -1659 meV/atom. The space group is No. 166.

Structure (Quantum ESPRESSO input):
```
&SYSTEM
  ibrav = 0, nat = 16, ntyp = 4
/
ATOMIC_SPECIES
Th 232.04 Th.upf
Se 78.96 Se.upf
Pm 145.00 Pm.upf
Tm 168.93 Tm.upf
CELL_PARAMETERS angstrom
-5.301 -6.197 -0.999
2.303 -3.184 7.532
-2.643 7.769 -0.388
ATOMIC_POSITIONS crystal
Th 0.500 0.000 0.500
Th 0.500 0.000 0.000
Th 0.000 0.000 0.000
Th 0.000 0.000 0.500
Se 0.243 0.740 0.997
Se 0.758 0.261 0.515
Se 0.252 0.255 0.503
Se 0.757 0.260 0.003
Se 0.242 0.739 0.485
Se 0.754 0.740 0.997
Se 0.748 0.745 0.497
Se 0.246 0.260 0.003
Pm 0.000 0.500 0.500
Pm 0.500 0.500 0.500
Pm 0.500 0.500 0.000
Tm 0.000 0.500 0.000
```